Entry 1:
DFT (PBE) results for a geometry-optimized ZrP3O structure.

Computed properties:
Total DFT energy (no corrections) (eV per cell): -30.5
Excess energy over the best structure of this formula in the dataset (eV/atom): 0.000
Formation energy without anion corrections (kJ/mol of atoms): -15.2
Calculated volume (A^3/atom): 14.56

Unit cell a=4.1759 b=4.1759 c=4.1759 alpha=90.00 beta=90.00 gamma=90.00
With the nearest neighbours (Å) after each atom.
Element x y z (fractional)
P (0.0000, 0.5000, 0.0000)  2 O 2.09
P (0.0000, 0.0000, 0.5000)  2 O 2.09
P (0.5000, 0.0000, 0.0000)  2 O 2.09
O (0.0000, 0.0000, 0.0000)  6 P 2.09
Zr (0.5000, 0.5000, 0.5000)  12 P 2.95

***

Entry 2:
DFT (PBE) results for a geometry-optimized ZrP2O7 structure.

Computed properties:
Total DFT energy (no corrections) (eV per cell): -321.0
Formation energy without anion corrections (kJ/mol of atoms): -252.5
Calculated volume (A^3/atom): 15.63

Unit cell a=8.5507 b=8.5507 c=8.5507 alpha=90.00 beta=90.00 gamma=90.00
With the nearest neighbours (Å) after each atom.
Element x y z (fractional)
Zr (0.0000, 0.5000, 0.5000)  6 O 2.09
Zr (0.5000, 0.5000, 0.0000)  6 O 2.09
Zr (0.5000, 0.0000, 0.5000)  6 O 2.09
Zr (0.0000, 0.0000, 0.0000)  6 O 2.09
P (0.3930, 0.1070, 0.8930)  4 O 1.52-1.58
P (0.1070, 0.8930, 0.3930)  4 O 1.52-1.58
P (0.8930, 0.3930, 0.1070)  4 O 1.52-1.58
P (0.6070, 0.6070, 0.6070)  4 O 1.52-1.58
P (0.6070, 0.8930, 0.1070)  4 O 1.52-1.58
P (0.8930, 0.1070, 0.6070)  4 O 1.52-1.58
P (0.1070, 0.6070, 0.8930)  4 O 1.52-1.58
P (0.3930, 0.3930, 0.3930)  4 O 1.52-1.58
O (0.5000, 0.0000, 0.0000)  2 P 1.58
O (0.0000, 0.0000, 0.5000)  2 P 1.58
O (0.0000, 0.5000, 0.0000)  2 P 1.58
O (0.5000, 0.5000, 0.5000)  2 P 1.58
O (0.9425, 0.2247, 0.0773)  1 P 1.52
O (0.4425, 0.2753, 0.9227)  1 P 1.52
O (0.0575, 0.7247, 0.4227)  1 P 1.52
O (0.2753, 0.9227, 0.4425)  1 P 1.52
O (0.4227, 0.0575, 0.7247)  1 P 1.52
O (0.9227, 0.4425, 0.2753)  1 P 1.52
O (0.2247, 0.0773, 0.9425)  1 P 1.52
O (0.0773, 0.9425, 0.2247)  1 P 1.52
O (0.4425, 0.2247, 0.4227)  1 P 1.52
O (0.4227, 0.4425, 0.2247)  1 P 1.52
O (0.2247, 0.4227, 0.4425)  1 P 1.52
O (0.2753, 0.5773, 0.9425)  1 P 1.52
O (0.9227, 0.0575, 0.7753)  1 P 1.52
O (0.7753, 0.9227, 0.0575)  1 P 1.52
O (0.0773, 0.5575, 0.7247)  1 P 1.52
O (0.5773, 0.9425, 0.2753)  1 P 1.52
O (0.7247, 0.0773, 0.5575)  1 P 1.52
O (0.9425, 0.2753, 0.5773)  1 P 1.52
O (0.5575, 0.7247, 0.0773)  1 P 1.52
O (0.0575, 0.7753, 0.9227)  1 P 1.52
O (0.5575, 0.7753, 0.5773)  1 P 1.52
O (0.5773, 0.5575, 0.7753)  1 P 1.52
O (0.7753, 0.5773, 0.5575)  1 P 1.52
O (0.7247, 0.4227, 0.0575)  1 P 1.52

***

Entry 3:
DFT (PBE) results for a geometry-optimized Zr2P3O12 structure.

Computed properties:
Total DFT energy (no corrections) (eV per cell): -273.6
Formation energy without anion corrections (kJ/mol of atoms): -249.6
Calculated volume (A^3/atom): 16.10

Unit cell a=9.3245 b=9.3245 c=9.3245 alpha=58.02 beta=58.02 gamma=58.02
With the nearest neighbours (Å) after each atom.
Element x y z (fractional)
Zr (0.1414, 0.1414, 0.1414)  6 O 2.08-2.11
Zr (0.3586, 0.3586, 0.3586)  6 O 2.08-2.11
Zr (0.8586, 0.8586, 0.8586)  6 O 2.08-2.11
Zr (0.6414, 0.6414, 0.6414)  6 O 2.08-2.11
P (0.7500, 0.0311, 0.4689)  4 O 1.54
P (0.9689, 0.5311, 0.2500)  4 O 1.54
P (0.5311, 0.2500, 0.9689)  4 O 1.54
P (0.4689, 0.7500, 0.0311)  4 O 1.54
P (0.0311, 0.4689, 0.7500)  4 O 1.54
P (0.2500, 0.9689, 0.5311)  4 O 1.54
O (0.9176, 0.0607, 0.3008)  1 P 1.54
O (0.7737, 0.0022, 0.6347)  1 P 1.54
O (0.6992, 0.0824, 0.9393)  1 P 1.54
O (0.9978, 0.3653, 0.2263)  1 P 1.54
O (0.8653, 0.4978, 0.7263)  1 P 1.54
O (0.5824, 0.1992, 0.4393)  1 P 1.54
O (0.8008, 0.5607, 0.4176)  1 P 1.54
O (0.9393, 0.6992, 0.0824)  1 P 1.54
O (0.5022, 0.2737, 0.1347)  1 P 1.54
O (0.3653, 0.2263, 0.9978)  1 P 1.54
O (0.2737, 0.1347, 0.5022)  1 P 1.54
O (0.5607, 0.4176, 0.8008)  1 P 1.54
O (0.4393, 0.5824, 0.1992)  1 P 1.54
O (0.7263, 0.8653, 0.4978)  1 P 1.54
O (0.6347, 0.7737, 0.0022)  1 P 1.54
O (0.4978, 0.7263, 0.8653)  1 P 1.54
O (0.0607, 0.3008, 0.9176)  1 P 1.54
O (0.1992, 0.4393, 0.5824)  1 P 1.54
O (0.4176, 0.8008, 0.5607)  1 P 1.54
O (0.1347, 0.5022, 0.2737)  1 P 1.54
O (0.0022, 0.6347, 0.7737)  1 P 1.54
O (0.3008, 0.9176, 0.0607)  1 P 1.54
O (0.2263, 0.9978, 0.3653)  1 P 1.54
O (0.0824, 0.9393, 0.6992)  1 P 1.54

***

Entry 4:
DFT (PBE) results for a geometry-optimized Zr2P4O17 structure.

Computed properties:
Total DFT energy (no corrections) (eV per cell): -171.2
Excess energy over the best structure of this formula in the dataset (eV/atom): 0.000
Formation energy without anion corrections (kJ/mol of atoms): -201.9
Calculated volume (A^3/atom): 16.33

Unit cell a=5.4847 b=5.4847 c=15.1234 alpha=75.01 beta=75.01 gamma=59.86
With the nearest neighbours (Å) after each atom.
Element x y z (fractional)
Zr (0.3760, 0.8990, 0.7676)  6 O 2.06-2.13
Zr (0.1010, 0.6240, 0.2324)  6 O 2.06-2.13
P (0.7644, 0.2870, 0.6545)  4 O 1.52-1.66
P (0.7130, 0.2356, 0.3455)  4 O 1.52-1.66
P (0.9839, 0.5152, 0.8829)  4 O 1.54-1.55
P (0.4848, 0.0161, 0.1171)  4 O 1.54-1.55
O (0.8441, 0.3287, 0.5396)  1 O 1.45
O (0.6713, 0.1559, 0.4604)  1 O 1.45
O (0.9459, 0.4516, 0.9901)  1 P 1.55
O (0.5484, 0.0541, 0.0099)  1 P 1.55
O (0.0608, 0.1544, 0.6796)  1 P 1.52
O (0.8456, 0.9392, 0.3204)  1 P 1.52
O (0.6932, 0.6596, 0.8492)  1 P 1.54
O (0.3404, 0.3068, 0.1508)  1 P 1.54
O (0.5664, 0.5822, 0.6819)  1 P 1.52
O (0.4178, 0.4336, 0.3181)  1 P 1.52
O (0.1758, 0.2279, 0.8467)  1 P 1.54
O (0.7721, 0.8242, 0.1533)  1 P 1.54
O (0.6245, 0.0936, 0.6840)  1 P 1.52
O (0.9064, 0.3755, 0.3160)  1 P 1.52
O (0.1255, 0.7112, 0.8458)  1 P 1.54
O (0.2888, 0.8745, 0.1542)  1 P 1.54
O (0.5957, 0.4043, 0.5000)  2 O 1.45

***

Entry 5:
DFT (PBE) results for a geometry-optimized Zr2P2O9 structure.

Computed properties:
Total DFT energy (no corrections) (eV per cell): -218.2
Formation energy without anion corrections (kJ/mol of atoms): -271.4
Calculated volume (A^3/atom): 13.74

Unit cell a=5.5419 b=5.5419 c=12.0432 alpha=90.00 beta=90.00 gamma=105.03
With the nearest neighbours (Å) after each atom.
Element x y z (fractional)
O (0.0156, 0.6349, 0.0846)  1 P 1.58
O (0.4844, 0.8651, 0.5846)  1 P 1.58
O (0.8651, 0.4844, 0.4154)  1 P 1.58
O (0.6349, 0.0156, 0.9154)  1 P 1.58
O (0.9844, 0.3651, 0.9154)  1 P 1.58
O (0.5156, 0.1349, 0.4154)  1 P 1.58
O (0.1349, 0.5156, 0.5846)  1 P 1.58
O (0.3651, 0.9844, 0.0846)  1 P 1.58
O (0.6398, 0.3602, 0.2296)  1 P 1.52
O (0.8602, 0.1398, 0.7296)  1 P 1.52
O (0.1398, 0.8602, 0.2704)  1 P 1.52
O (0.3602, 0.6398, 0.7704)  1 P 1.52
O (0.5000, 0.5000, 0.0000)  2 Zr 1.97
O (0.0000, 0.0000, 0.5000)  2 Zr 1.97
O (0.9374, 0.0626, 0.1237)  1 P 1.52
O (0.5626, 0.4374, 0.6237)  1 P 1.52
O (0.4374, 0.5626, 0.3763)  1 P 1.52
O (0.0626, 0.9374, 0.8763)  1 P 1.52
P (0.1070, 0.8930, 0.1465)  4 O 1.52-1.58
P (0.3930, 0.6070, 0.6465)  4 O 1.52-1.58
P (0.6070, 0.3930, 0.3535)  4 O 1.52-1.58
P (0.8930, 0.1070, 0.8535)  4 O 1.52-1.58
Zr (0.2063, 0.7937, 0.4367)  3 O 1.97-2.16
Zr (0.2937, 0.7063, 0.9367)  3 O 1.97-2.16
Zr (0.7063, 0.2937, 0.0633)  3 O 1.97-2.16
Zr (0.7937, 0.2063, 0.5633)  3 O 1.97-2.16

***

Entry 6:
DFT (PBE) results for a geometry-optimized ZrP2O structure.

Computed properties:
Total DFT energy (no corrections) (eV per cell): -49.6
Formation energy without anion corrections (kJ/mol of atoms): -11.5
Calculated volume (A^3/atom): 16.24

Unit cell a=4.7192 b=4.7192 c=6.7218 alpha=69.45 beta=69.45 gamma=90.00
With the nearest neighbours (Å) after each atom.
Element x y z (fractional)
P (0.3754, 0.1250, 0.2500)  2 O 1.88
P (0.3746, 0.6250, 0.2500)  2 O 1.88
P (0.3750, 0.6246, 0.7500)  2 O 1.88
P (0.8750, 0.6254, 0.7500)  2 O 1.88
O (0.5000, 0.5000, 0.0000)  4 P 1.88
O (0.2500, 0.7500, 0.5000)  4 P 1.88
Zr (0.0000, 0.0000, 0.0000)  8 P 3.01-3.02, 4 O 3.34
Zr (0.7500, 0.2500, 0.5000)  8 P 3.01-3.02, 4 O 3.34

***

Entry 7:
DFT (PBE) results for a geometry-optimized ZrPO3 structure.

Computed properties:
Total DFT energy (no corrections) (eV per cell): -35.3
Formation energy without anion corrections (kJ/mol of atoms): -123.8
Calculated volume (A^3/atom): 13.85

Unit cell a=4.1069 b=4.1069 c=4.1069 alpha=90.00 beta=90.00 gamma=90.00
With the nearest neighbours (Å) after each atom.
Element x y z (fractional)
P (0.5000, 0.5000, 0.5000)  12 O 2.90
O (0.0000, 0.5000, 0.0000)  2 Zr 2.05
O (0.0000, 0.0000, 0.5000)  2 Zr 2.05
O (0.5000, 0.0000, 0.0000)  2 Zr 2.05
Zr (0.0000, 0.0000, 0.0000)  6 O 2.05

***

Entry 8:
DFT (PBE) results for a geometry-optimized Zr2P3O12 structure.

Computed properties:
Total DFT energy (no corrections) (eV per cell): -547.1
Formation energy without anion corrections (kJ/mol of atoms): -249.4
Calculated volume (A^3/atom): 15.59

Unit cell a=9.0901 b=9.1327 c=12.7706 alpha=90.00 beta=90.03 gamma=90.00
With the nearest neighbours (Å) after each atom.
Element x y z (fractional)
Zr (0.2494, 0.5324, 0.8826)  6 O 2.07-2.11
Zr (0.2507, 0.4677, 0.3826)  6 O 2.07-2.11
Zr (0.2506, 0.0324, 0.6174)  6 O 2.07-2.11
Zr (0.2493, 0.9677, 0.1174)  6 O 2.07-2.11
Zr (0.7507, 0.0323, 0.8826)  6 O 2.07-2.11
Zr (0.7494, 0.9676, 0.3826)  6 O 2.07-2.11
Zr (0.7493, 0.5323, 0.6174)  6 O 2.07-2.11
Zr (0.7506, 0.4676, 0.1174)  6 O 2.07-2.11
P (0.0308, 0.7500, 0.5000)  4 O 1.54
P (0.1123, 0.8923, 0.8567)  4 O 1.54
P (0.1124, 0.6077, 0.1432)  4 O 1.54
P (0.3876, 0.1077, 0.3568)  4 O 1.54
P (0.3877, 0.3923, 0.6433)  4 O 1.54
P (0.4692, 0.2500, 0.0000)  4 O 1.54
P (0.5308, 0.7500, 0.0000)  4 O 1.54
P (0.6123, 0.6077, 0.3567)  4 O 1.54
P (0.6124, 0.8923, 0.6432)  4 O 1.54
P (0.8876, 0.3923, 0.8568)  4 O 1.54
P (0.8877, 0.1077, 0.1433)  4 O 1.54
P (0.9692, 0.2500, 0.5000)  4 O 1.54
O (0.0559, 0.4140, 0.8575)  1 P 1.54
O (0.0661, 0.3411, 0.4254)  1 P 1.54
O (0.0659, 0.1592, 0.5749)  1 P 1.54
O (0.0560, 0.0859, 0.1435)  1 P 1.54
O (0.1288, 0.8516, 0.5658)  1 P 1.54
O (0.1473, 0.7288, 0.8397)  1 P 1.54
O (0.1753, 0.9427, 0.9624)  1 P 1.54
O (0.1295, 0.6486, 0.4346)  1 P 1.54
O (0.1794, 0.5151, 0.2322)  1 P 1.54
O (0.1802, 0.9848, 0.7680)  1 P 1.54
O (0.1474, 0.7712, 0.1604)  1 P 1.54
O (0.1763, 0.5574, 0.0378)  1 P 1.54
O (0.3198, 0.4848, 0.7320)  1 P 1.54
O (0.3237, 0.0574, 0.4622)  1 P 1.54
O (0.3526, 0.2712, 0.3396)  1 P 1.54
O (0.3206, 0.0151, 0.2678)  1 P 1.54
O (0.3247, 0.4427, 0.5376)  1 P 1.54
O (0.3705, 0.1486, 0.0654)  1 P 1.54
O (0.3527, 0.2288, 0.6603)  1 P 1.54
O (0.3712, 0.3516, 0.9342)  1 P 1.54
O (0.4341, 0.6592, 0.9251)  1 P 1.54
O (0.4440, 0.5859, 0.3565)  1 P 1.54
O (0.4441, 0.9140, 0.6425)  1 P 1.54
O (0.4339, 0.8411, 0.0746)  1 P 1.54
O (0.5661, 0.1589, 0.9254)  1 P 1.54
O (0.5559, 0.0860, 0.3575)  1 P 1.54
O (0.5560, 0.4141, 0.6435)  1 P 1.54
O (0.5659, 0.3408, 0.0749)  1 P 1.54
O (0.6288, 0.6484, 0.0658)  1 P 1.54
O (0.6473, 0.7712, 0.3397)  1 P 1.54
O (0.6295, 0.8514, 0.9346)  1 P 1.54
O (0.6753, 0.5573, 0.4624)  1 P 1.54
O (0.6794, 0.9849, 0.7322)  1 P 1.54
O (0.6474, 0.7288, 0.6604)  1 P 1.54
O (0.6763, 0.9426, 0.5378)  1 P 1.54
O (0.6802, 0.5152, 0.2680)  1 P 1.54
O (0.8237, 0.4426, 0.9622)  1 P 1.54
O (0.8526, 0.2288, 0.8396)  1 P 1.54
O (0.8198, 0.0152, 0.2320)  1 P 1.54
O (0.8206, 0.4849, 0.7678)  1 P 1.54
O (0.8705, 0.3514, 0.5654)  1 P 1.54
O (0.8247, 0.0573, 0.0376)  1 P 1.54
O (0.8527, 0.2712, 0.1603)  1 P 1.54
O (0.8712, 0.1484, 0.4342)  1 P 1.54
O (0.9440, 0.9141, 0.8565)  1 P 1.54
O (0.9341, 0.8408, 0.4251)  1 P 1.54
O (0.9339, 0.6589, 0.5746)  1 P 1.54
O (0.9441, 0.5860, 0.1425)  1 P 1.54

***

Entry 9:
DFT (PBE) results for a geometry-optimized ZrP2O6 structure.

Computed properties:
Total DFT energy (no corrections) (eV per cell): -70.6
Formation energy without anion corrections (kJ/mol of atoms): -230.2
Calculated volume (A^3/atom): 16.80

Unit cell a=5.3944 b=5.3944 c=6.7599 alpha=66.48 beta=66.48 gamma=60.00
With the nearest neighbours (Å) after each atom.
Element x y z (fractional)
Zr (0.3331, 0.3331, 0.0008)  6 O 2.15
P (0.7248, 0.7248, 0.8255)  3 O 1.55
P (0.6081, 0.6081, 0.1756)  3 O 1.55
O (0.6198, 0.5484, 0.7677)  1 P 1.55
O (0.0641, 0.6198, 0.7677)  1 P 1.55
O (0.5484, 0.0641, 0.7677)  1 P 1.55
O (0.3905, 0.4680, 0.2326)  1 P 1.55
O (0.9088, 0.3905, 0.2326)  1 P 1.55
O (0.4680, 0.9088, 0.2326)  1 P 1.55